No. 1
Entry from the Alexandria database: crystalline SrCuHgAs2 at its relaxed geometry (PBE).

Computed properties:
formation energy	-18.1	kJ per mole of atoms
E_tot	-16.32	eV/cell
spin magnetization	0.00	μB per formula unit

Cell and atoms, written as POSCAR:
```
SrCuHgAs2
1.0
4.895 0.000 0.000
0.000 4.895 0.000
0.000 0.000 5.087
Sr Cu Hg As
1 1 1 2
direct
0.000 0.000 0.000 Sr
0.500 0.500 0.500 Cu
0.500 0.500 0.000 Hg
0.000 0.500 0.500 As
0.500 0.000 0.500 As
```



No. 2
Entry from the Alexandria database: crystalline TiCu2HgAs at its relaxed geometry (PBE).

Computed properties:
formation energy	103.1	kJ per mole of atoms
E_tot	-15.70	eV/cell
spin magnetization	0.00	μB per formula unit

Cell and atoms, written as POSCAR:
```
TiCu2HgAs
1.0
4.691 0.000 0.000
0.000 4.691 0.000
0.000 0.000 5.176
Ti Cu Hg As
1 2 1 1
direct
0.000 0.000 0.000 Ti
0.000 0.500 0.500 Cu
0.500 0.000 0.500 Cu
0.500 0.500 0.500 Hg
0.500 0.500 0.000 As
```



No. 3
Entry from the Alexandria database: crystalline ZrCu2HgAs at its relaxed geometry (PBE).

Computed properties:
formation energy	124.0	kJ per mole of atoms
E_tot	-15.27	eV/cell
spin magnetization	0.39	μB per formula unit

Cell and atoms, written as POSCAR:
```
ZrCu2HgAs
1.0
4.914 0.000 0.000
0.000 4.914 0.000
0.000 0.000 5.455
Zr Cu Hg As
1 2 1 1
direct
0.000 0.000 0.000 Zr
0.000 0.500 0.000 Cu
0.500 0.000 0.000 Cu
0.000 0.000 0.500 Hg
0.500 0.500 0.500 As
```



No. 4
Entry from the Alexandria database: crystalline ZrCu2HgAs at its relaxed geometry (PBE).

Computed properties:
formation energy	51.8	kJ per mole of atoms
E_tot	-19.01	eV/cell
spin magnetization	0.00	μB per formula unit

Cell and atoms, written as POSCAR:
```
ZrCu2HgAs
1.0
4.427 0.000 0.000
0.000 4.427 0.000
0.000 0.000 5.323
Zr Cu Hg As
1 2 1 1
direct
0.000 0.000 0.000 Zr
0.000 0.500 0.500 Cu
0.500 0.000 0.500 Cu
0.500 0.500 0.000 Hg
0.500 0.500 0.500 As
```



Q: The highest spin magnetization belongs to which entry?
A: number 3



What did the second record say?
Entry from the Alexandria database: crystalline TiCu2HgAs at its relaxed geometry (PBE).

Computed properties:
formation energy	103.1	kJ per mole of atoms
E_tot	-15.70	eV/cell
spin magnetization	0.00	μB per formula unit

Cell and atoms, written as POSCAR:
```
TiCu2HgAs
1.0
4.691 0.000 0.000
0.000 4.691 0.000
0.000 0.000 5.176
Ti Cu Hg As
1 2 1 1
direct
0.000 0.000 0.000 Ti
0.000 0.500 0.500 Cu
0.500 0.000 0.500 Cu
0.500 0.500 0.500 Hg
0.500 0.500 0.000 As
```



Repeat the third record exactly.
Entry from the Alexandria database: crystalline ZrCu2HgAs at its relaxed geometry (PBE).

Computed properties:
formation energy	124.0	kJ per mole of atoms
E_tot	-15.27	eV/cell
spin magnetization	0.39	μB per formula unit

Cell and atoms, written as POSCAR:
```
ZrCu2HgAs
1.0
4.914 0.000 0.000
0.000 4.914 0.000
0.000 0.000 5.455
Zr Cu Hg As
1 2 1 1
direct
0.000 0.000 0.000 Zr
0.000 0.500 0.000 Cu
0.500 0.000 0.000 Cu
0.000 0.000 0.500 Hg
0.500 0.500 0.500 As
```